{"formula": "PmEr2Tm", "functional": "PBE-GGA", "state": "relaxed", "dos_ef_per_ev_cell": 8.10, "e_form_ev_per_atom": 0.135, "lattice": [[5.641, 0.000, 0.000], [2.820, 4.885, 0.000], [2.820, 1.628, 4.606]], "species": ["Tm", "Er", "Er", "Pm"], "fractional_positions": [[0.500, 0.500, 0.500], [0.750, 0.750, 0.750], [0.250, 0.250, 0.250], [0.000, 0.000, 0.000]]}